# Tb6C2Se3Cl

Tb6C2Se3Cl after structural relaxation (GGA-PBE, Alexandria).

Computed properties:
Raw total energy: -74.50 eV per cell
Raw formation energy: -1331 meV/atom

a = 3.834 Å, b = 8.055 Å, c = 8.823 Å
α = 103.17°, β = 102.55°, γ = 90.00°
Positions (direct):
C 0.830 0.666 0.660
C 0.170 0.334 0.340
Cl 0.500 0.000 0.000
Tb 0.324 0.865 0.647
Tb 0.677 0.559 0.355
Tb 0.676 0.135 0.353
Tb 0.975 0.729 0.950
Tb 0.025 0.271 0.050
Tb 0.323 0.441 0.645
Se 0.843 0.162 0.686
Se 0.500 0.500 0.000
Se 0.157 0.838 0.314

=====

# Ta2AlTcRu

Ta2AlTcRu after structural relaxation (GGA-PBE, Alexandria).

Computed properties:
Raw total energy: -40.00 eV per cell
Formation energy from the elements: 137 kJ per mole of atoms

a = 4.661 Å, b = 4.274 Å, c = 4.661 Å
α = 90.00°, β = 90.00°, γ = 90.00°
Positions (direct):
Al 0.000 0.000 0.000
Tc 0.000 0.500 0.000
Ta 0.000 0.000 0.500
Ta 0.500 0.000 0.000
Ru 0.500 0.500 0.500

=====

# Pm4Sn5

Pm4Sn5 after structural relaxation (GGA-PBE, Alexandria).

Computed properties:
Raw total energy: -42.83 eV per cell
Formation energy from the elements: -41 kJ per mole of atoms

a = 6.320 Å, b = 7.286 Å, c = 7.286 Å
α = 79.16°, β = 64.30°, γ = 64.30°
Positions (direct):
Sn 0.500 0.000 0.000
Sn 0.787 0.119 0.306
Sn 0.093 0.694 0.119
Sn 0.907 0.306 0.881
Sn 0.213 0.881 0.694
Pm 0.442 0.382 0.733
Pm 0.825 0.733 0.618
Pm 0.558 0.618 0.267
Pm 0.175 0.267 0.382

=====

# Dy2Si2SbRh5

Dy2Si2SbRh5 after structural relaxation (GGA-PBE, Alexandria).

Computed properties:
Raw total energy: -140.47 eV per cell
Raw formation energy: -931 meV/atom

a = 3.552 Å, b = 9.786 Å, c = 9.786 Å
α = 90.00°, β = 90.00°, γ = 90.00°
Positions (direct):
Rh 0.500 0.430 0.283
Rh 0.500 0.283 0.570
Rh 0.500 0.783 0.930
Rh 0.500 0.570 0.717
Rh 0.500 0.500 0.000
Rh 0.500 0.000 0.500
Rh 0.500 0.217 0.070
Rh 0.500 0.070 0.783
Rh 0.500 0.717 0.430
Rh 0.500 0.930 0.217
Dy 0.000 0.177 0.323
Dy 0.000 0.823 0.677
Dy 0.000 0.677 0.177
Dy 0.000 0.323 0.823
Sb 0.000 0.500 0.500
Sb 0.000 0.000 0.000
Si 0.000 0.380 0.120
Si 0.000 0.880 0.380
Si 0.000 0.620 0.880
Si 0.000 0.120 0.620

=====

# Ca5Ge2Bi

Ca5Ge2Bi after structural relaxation (GGA-PBE, Alexandria).

Computed properties:
Raw total energy: -57.89 eV per cell
Formation energy from the elements: -70 kJ per mole of atoms

a = 7.901 Å, b = 7.901 Å, c = 9.337 Å
α = 115.03°, β = 115.03°, γ = 90.00°
Positions (direct):
Bi 0.750 0.750 0.500
Bi 0.250 0.250 0.500
Ca 0.530 0.694 0.723
Ca 0.970 0.470 0.277
Ca 0.806 0.970 0.277
Ca 0.030 0.530 0.723
Ca 0.194 0.030 0.723
Ca 0.470 0.306 0.277
Ca 0.000 0.000 0.000
Ca 0.500 0.500 0.000
Ca 0.694 0.194 0.723
Ca 0.306 0.806 0.277
Ge 0.121 0.379 0.000
Ge 0.621 0.121 0.000
Ge 0.879 0.621 0.000
Ge 0.379 0.879 0.000

=====

# In3Pb5

In3Pb5 after structural relaxation (GGA-PBE, Alexandria).

Computed properties:
Energy above the lowest structure with this stoichiometry: 0.0 meV per atom
Raw total energy: -26.70 eV per cell
Formation energy from the elements: 1 kJ per mole of atoms

a = 4.977 Å, b = 4.939 Å, c = 9.818 Å
α = 90.00°, β = 90.00°, γ = 90.00°
Positions (direct):
Pb 0.000 0.000 0.000
Pb 0.000 0.000 0.500
Pb 0.500 0.500 0.000
Pb 0.000 0.500 0.254
Pb 0.000 0.500 0.746
In 0.500 0.000 0.746
In 0.500 0.500 0.500
In 0.500 0.000 0.254